A plane-wave DFT calculation with GGA-PBE was carried out for a relaxed structure of HoScPaO6.

Summary:
symmetry: P312
crystal system: trigonal
volume: 126.76 Å³/f.u.
uncorrected formation energy: -29.035 eV/f.u.

Geometry as POSCAR:
```
HoScPaO6
1.0
4.6959 0.0000 0.0000
0.0000 5.5831 0.0000
0.0000 -2.7915 4.8351
O Sc Ho Pa
6 1 1 1
Direct
0.2596 0.6682 0.9851
0.2596 0.3169 0.3318
0.7404 0.0149 0.3318
0.7404 0.3169 0.9851
0.7404 0.6682 0.6831
0.2596 0.0149 0.6831
0.5000 0.0000 0.0000
0.5000 0.6667 0.3333
0.0000 0.3333 0.6667
```